1.
A relaxed Tb2CeSmHo5 crystal. Source: Alexandria, functional GGA-PBE.

POSCAR file:
```
Tb2CeSmHo5
1.0
-0.7284 5.3522 -1.7678
-10.0907 -3.3450 3.1664
1.7306 3.1595 8.8526
Ho Ce Sm Tb
10 2 2 4
Cartesian
-0.2507 0.0265 0.1835
-8.5654 1.7255 8.7533
-8.1730 -0.3967 2.1665
-1.6375 4.2452 4.3914
-3.8043 4.9988 7.5658
-4.9933 0.6990 4.1736
-4.0284 3.0990 1.9063
-5.1792 1.8504 7.7361
-9.6548 3.6486 5.8885
-0.5380 3.4141 1.4221
-5.8655 3.9129 5.1275
-4.0151 -0.1925 1.0717
-0.7854 5.4691 7.7458
-7.6976 0.8031 5.6031
-7.0280 4.7559 8.1585
-7.6163 2.8374 2.5927
-1.6275 2.0456 6.8638
-1.8112 0.8659 3.3678
```

Results
Spin magnetization: 0.7 μB per formula unit
Calculated formation energy: 173 meV per atom



2.
A relaxed Tb5CeSmHo2 crystal. Source: Alexandria, functional GGA-PBE.

POSCAR file:
```
Tb5CeSmHo2
1.0
-0.9776 5.1841 2.1799
-4.7388 0.1956 -10.0636
-8.2165 -3.1506 3.8078
Tb Ce Sm Ho
10 2 2 4
Cartesian
-4.2794 3.0021 -1.5851
-4.4614 2.0640 -6.9092
-9.0607 -0.5457 -2.7655
-2.8192 1.9773 1.5069
-9.7975 3.6890 -5.6932
-5.5200 0.4438 -3.5309
-11.0580 0.2732 -5.6086
-9.7584 1.2693 0.0786
-6.0505 1.4768 1.2479
-0.2473 0.0310 -0.1845
-7.9938 2.6607 -2.4390
-2.1959 1.0036 -3.3716
-9.0992 0.2191 2.8717
-7.7035 0.9095 -5.6176
-7.2121 -1.4755 0.2746
-3.8412 -0.3845 -0.8082
-6.0059 3.9787 -4.6818
-11.2913 2.1536 -2.7117
```

Results
Spin magnetization: 0.7 μB per formula unit
Calculated formation energy: 172 meV per atom



3.
A relaxed Tb6Ce2SmHo3 crystal. Source: Alexandria, functional GGA-PBE.

POSCAR file:
```
Tb6Ce2SmHo3
1.0
6.1450 -0.0014 0.0015
-3.0722 5.3219 0.0015
-1.0276 -1.7793 11.5896
Sm Tb Ce Ho
1 6 2 3
Cartesian
0.0000 0.0000 0.0000
-1.0313 1.7905 2.9013
2.0662 0.0016 2.9013
2.0414 3.5347 2.9037
3.0765 1.7508 8.6913
-0.0210 3.5397 8.6913
0.0038 0.0066 8.6889
3.0723 1.7732 0.0015
0.0005 3.5473 0.0015
1.0226 1.7706 5.7963
-2.0534 3.5471 5.7963
4.0986 -0.0059 5.7963
```

Results
Spin magnetization: 1.9 μB per formula unit
Calculated formation energy: 49 meV per atom



4.
A relaxed Tb2CeSm6Ho3 crystal. Source: Alexandria, functional GGA-PBE.

POSCAR file:
```
Tb2CeSm6Ho3
1.0
-4.4026 -1.1548 4.2348
1.0526 -4.0704 -4.5797
8.9789 -3.7348 6.7922
Sm Tb Ho Ce
6 2 3 1
Cartesian
5.1155 -7.2059 3.3697
3.3077 -6.2396 6.2908
-0.2664 -4.8656 1.4446
2.3211 -2.7204 0.1566
0.5133 -1.7542 3.0777
5.8952 -4.0944 5.0028
-2.5832 -2.1272 1.2951
-0.7668 -3.0980 -1.6400
2.8144 -4.4800 3.2237
4.6300 -5.4504 0.2900
0.9988 -3.5096 6.1574
0.0000 0.0000 0.0000
```

Results
Spin magnetization: 1.3 μB per formula unit
Calculated formation energy: 38 meV per atom



5.
A relaxed CeSmHoTc crystal. Source: Alexandria, functional GGA-PBE.

POSCAR file:
```
CeSmHoTc
1.0
4.4443 -0.0153 -0.0066
-2.2095 3.8562 0.0066
-2.2162 -1.2811 6.6039
Sm Ho Ce Tc
1 1 1 1
Cartesian
0.6055 -0.3523 3.0432
0.6174 2.2114 5.4364
0.6092 2.2161 0.8420
2.8290 0.9245 0.5556
```

Results
Spin magnetization: 0.0 μB per formula unit
Calculated formation energy: 100 meV per atom



6.
A relaxed Ce2SmHo3Te6 crystal. Source: Alexandria, functional GGA-PBE.

POSCAR file:
```
Ce2SmHo3Te6
1.0
4.3611 0.0000 0.0000
0.0000 8.9046 0.2166
-2.1806 -2.6708 9.2765
Ho Sm Te Ce
3 1 6 2
Cartesian
2.1806 4.4523 0.1083
0.0000 6.5272 3.2659
2.1806 -0.2934 6.2271
2.1806 0.0000 0.0000
2.1806 -0.3883 9.2833
2.1806 4.3859 3.1614
0.0000 6.4608 6.3473
2.1806 -0.2269 3.1457
0.0000 6.6222 0.2098
0.0000 1.8479 6.3316
2.1806 4.1483 6.3195
0.0000 2.0855 3.1735
```

Results
Spin magnetization: 2.6 μB per formula unit
Formation energy from raw total energies: -1320 meV per atom